# 1
LiHg2Se | PBE | optimized geometry

- raw formation energy (eV/atom) = -0.349
- calculated total energy (eV per atom) = -1.85
- symmetry = No. 25

a b c (Å): 3.000 4.170 8.385
angles (deg): 90.00 90.00 90.00
Fractional positions:
Li (0.000, 0.000, 0.639)
Hg (0.500, 0.500, 0.256)
Hg (0.000, 0.000, 0.997)
Se (0.500, 0.500, 0.608)

=====

# 2
Mn2HgCl | PBE | optimized geometry

- raw formation energy (eV/atom) = 0.256
- calculated total energy (eV per atom) = -4.87
- symmetry = No. 71

a b c (Å): 5.444 5.444 5.444
angles (deg): 146.38 116.28 74.01
Site moments in Bohr magnetons follow the coordinates.
Fractional positions:
Hg (0.250, 0.750, 0.500)  -0.02
Mn (0.519, 0.519, 0.000)  3.93
Mn (0.981, 0.981, 0.000)  3.93
Cl (0.750, 0.250, 0.500)  0.06

=====

# 3
LaMoP2 | PBE | optimized geometry

- calculated total energy (eV per atom) = -7.07
- energy relative to the elements (eV per atom) = -0.42
- symmetry = No. 225

a b c (Å): 4.694 4.694 4.694
angles (deg): 60.00 60.00 60.00
Site moments in Bohr magnetons follow the coordinates.
Fractional positions:
P (0.250, 0.250, 0.250)  0.04
P (0.750, 0.750, 0.750)  0.04
La (0.500, 0.500, 0.500)  0.04
Mo (0.000, 0.000, 0.000)  0.53

=====

# 4
DyTh2SnN5 | PBE | optimized geometry

- raw formation energy (eV/atom) = -1.102
- calculated total energy (eV per atom) = -8.33
- symmetry = No. 36

a b c (Å): 3.562 7.332 11.469
angles (deg): 90.00 90.00 104.06
Fractional positions:
N (0.066, 0.133, 0.041)
N (0.623, 0.246, 0.572)
N (0.282, 0.564, 0.344)
N (0.934, 0.867, 0.541)
N (0.714, 0.427, 0.143)
N (0.286, 0.573, 0.643)
N (0.519, 0.037, 0.299)
N (0.377, 0.754, 0.072)
N (0.718, 0.436, 0.844)
N (0.481, 0.963, 0.799)
Th (0.868, 0.737, 0.212)
Th (0.132, 0.264, 0.244)
Th (0.132, 0.263, 0.712)
Th (0.868, 0.736, 0.744)
Sn (0.496, 0.991, 0.480)
Sn (0.504, 0.009, 0.980)
Dy (0.769, 0.538, 0.488)
Dy (0.231, 0.462, 0.988)

=====

# 5
Pm2PrCd2Ag2 | PBE | optimized geometry

- calculated total energy (eV per atom) = -3.31
- energy relative to the elements (eV per atom) = -0.19
- symmetry = No. 166

a b c (Å): 4.936 4.936 9.380
angles (deg): 74.75 74.75 60.00
Fractional positions:
Pm (0.874, 0.874, 0.377)
Pm (0.126, 0.126, 0.623)
Cd (0.738, 0.738, 0.786)
Cd (0.262, 0.262, 0.214)
Ag (0.402, 0.402, 0.794)
Ag (0.598, 0.598, 0.206)
Pr (0.000, 0.000, 0.000)

=====

# 6
LiTlAu2 | PBE | optimized geometry

- calculated total energy (eV per atom) = -2.94
- energy relative to the elements (eV per atom) = -0.23
- symmetry = No. 11

a b c (Å): 5.234 5.505 7.422
angles (deg): 90.00 90.00 132.51
Fractional positions:
Au (0.138, 0.355, 0.053)
Au (0.862, 0.645, 0.553)
Au (0.138, 0.355, 0.447)
Au (0.862, 0.645, 0.947)
Tl (0.442, 0.084, 0.250)
Tl (0.558, 0.916, 0.750)
Li (0.283, 0.211, 0.750)
Li (0.717, 0.789, 0.250)

=====

# 7
KTbReN3 | PBE | optimized geometry

- raw formation energy (eV/atom) = -0.563
- calculated total energy (eV per atom) = -7.76
- symmetry = No. 12

a b c (Å): 3.897 7.002 7.793
angles (deg): 103.89 90.00 106.16
Fractional positions:
K (0.643, 0.287, 0.070)
K (0.357, 0.713, 0.930)
N (0.160, 0.320, 0.378)
N (0.840, 0.680, 0.622)
N (0.490, 0.979, 0.673)
N (0.136, 0.272, 0.786)
N (0.864, 0.728, 0.214)
N (0.510, 0.021, 0.327)
Tb (0.338, 0.676, 0.424)
Tb (0.662, 0.324, 0.576)
Re (0.997, 0.994, 0.670)
Re (0.003, 0.006, 0.330)

=====

# 8
PrY2Se | PBE | optimized geometry

- raw formation energy (eV/atom) = -0.612
- calculated total energy (eV per atom) = -5.91
- symmetry = No. 166

a b c (Å): 3.749 3.749 10.687
angles (deg): 79.90 79.90 60.00
Fractional positions:
Y (0.110, 0.110, 0.671)
Y (0.890, 0.890, 0.329)
Se (0.500, 0.500, 0.500)
Pr (0.000, 0.000, 0.000)

=====

# 9
TlBiPt3 | PBE | optimized geometry

- calculated total energy (eV per atom) = -4.07
- energy relative to the elements (eV per atom) = 0.80
- symmetry = No. 221

a b c (Å): 5.173 5.173 5.173
angles (deg): 90.00 90.00 90.00
Fractional positions:
Bi (0.000, 0.000, 0.000)
Tl (0.500, 0.500, 0.500)
Pt (0.500, 0.000, 0.000)
Pt (0.000, 0.500, 0.000)
Pt (0.000, 0.000, 0.500)

=====

# 10
RbH2Pb | PBE | optimized geometry

- calculated total energy (eV per atom) = -2.83
- symmetry = No. 62

a b c (Å): 6.799 7.799 7.173
angles (deg): 90.00 90.00 90.00
Fractional positions:
H (0.954, 0.163, 0.864)
H (0.954, 0.337, 0.364)
H (0.546, 0.163, 0.864)
H (0.454, 0.837, 0.136)
H (0.046, 0.837, 0.136)
H (0.454, 0.663, 0.636)
H (0.046, 0.663, 0.636)
H (0.546, 0.337, 0.364)
Rb (0.250, 0.351, 0.643)
Rb (0.750, 0.649, 0.357)
Rb (0.750, 0.851, 0.857)
Rb (0.250, 0.149, 0.143)
Pb (0.250, 0.666, 0.132)
Pb (0.250, 0.834, 0.632)
Pb (0.750, 0.334, 0.868)
Pb (0.750, 0.166, 0.368)

=====

# 11
MgBr | PBE | optimized geometry

- raw formation energy (eV/atom) = -0.816
- calculated total energy (eV per atom) = -2.45
- symmetry = No. 8

a b c (Å): 7.293 7.293 10.418
angles (deg): 48.19 48.19 29.67
Fractional positions:
Mg (0.299, 0.299, 0.304)
Mg (0.801, 0.801, 0.973)
Mg (0.443, 0.443, 0.668)
Br (0.125, 0.125, 0.284)
Br (0.709, 0.709, 0.541)
Br (0.956, 0.956, 0.063)

=====

# 12
Ga2PtRhN | PBE | optimized geometry

- raw formation energy (eV/atom) = 1.267
- calculated total energy (eV per atom) = -4.29
- symmetry = No. 123

a b c (Å): 4.797 4.922 4.797
angles (deg): 90.00 90.00 90.00
Site moments in Bohr magnetons follow the coordinates.
Fractional positions:
Pt (0.000, 0.500, 0.000)  0.69
Ga (0.500, 0.000, 0.000)  0.01
Ga (0.000, 0.000, 0.500)  -0.03
N (0.500, 0.500, 0.500)  1.66
Rh (0.000, 0.000, 0.000)  0.41

=====

# 13
CoHgP2 | PBE | optimized geometry

- calculated total energy (eV per atom) = -4.31
- energy relative to the elements (eV per atom) = 0.25
- symmetry = No. 71

a b c (Å): 5.773 5.773 5.773
angles (deg): 152.78 131.17 56.80
Site moments in Bohr magnetons follow the coordinates.
Fractional positions:
P (0.569, 0.569, 0.000)  0.00
P (0.931, 0.931, 0.000)  0.00
Hg (0.250, 0.750, 0.500)  0.00
Co (0.750, 0.250, 0.500)  0.16

=====

# 14
HoGaRh4 | PBE | optimized geometry

- calculated total energy (eV per atom) = -6.61
- energy relative to the elements (eV per atom) = -0.45
- symmetry = No. 216

a b c (Å): 5.222 5.222 5.222
angles (deg): 60.00 60.00 60.00
Fractional positions:
Ho (0.250, 0.250, 0.250)
Rh (0.626, 0.123, 0.626)
Rh (0.123, 0.626, 0.626)
Rh (0.626, 0.626, 0.123)
Rh (0.626, 0.626, 0.626)
Ga (0.000, 0.000, 0.000)

=====

# 15
Dy9YTl2 | PBE | optimized geometry

- calculated total energy (eV per atom) = -4.49
- energy relative to the elements (eV per atom) = -0.11
- symmetry = No. 123

a b c (Å): 4.869 4.869 15.003
angles (deg): 90.00 90.00 90.00
Fractional positions:
Dy (0.500, 0.500, 0.000)
Dy (0.000, 0.500, 0.500)
Dy (0.500, 0.000, 0.172)
Dy (0.500, 0.500, 0.663)
Dy (0.500, 0.500, 0.337)
Dy (0.500, 0.000, 0.500)
Dy (0.500, 0.000, 0.828)
Dy (0.000, 0.500, 0.828)
Dy (0.000, 0.500, 0.172)
Y (0.000, 0.000, 0.000)
Tl (0.000, 0.000, 0.340)
Tl (0.000, 0.000, 0.660)

=====

# 16
LiPd2Pb | PBE | optimized geometry

- calculated total energy (eV per atom) = -4.35
- energy relative to the elements (eV per atom) = -0.35
- symmetry = No. 216

a b c (Å): 4.588 4.588 4.584
angles (deg): 59.97 59.97 60.00
Fractional positions:
Li (0.500, 0.500, 0.501)
Pd (0.250, 0.250, 0.249)
Pd (0.000, 0.000, 0.000)
Pb (0.750, 0.750, 0.750)

=====

# 17
Ac2La3Tl2 | PBE | optimized geometry

- calculated total energy (eV per atom) = -4.16
- energy relative to the elements (eV per atom) = -0.20
- symmetry = No. 12

a b c (Å): 4.785 6.461 8.570
angles (deg): 95.44 90.00 111.73
Fractional positions:
La (0.264, 0.529, 0.854)
La (0.736, 0.471, 0.146)
La (0.000, 0.000, 0.000)
Tl (0.427, 0.854, 0.267)
Tl (0.573, 0.146, 0.733)
Ac (0.135, 0.270, 0.425)
Ac (0.865, 0.730, 0.575)

=====

# 18
Zn2InAs | PBE | optimized geometry

- calculated total energy (eV per atom) = -2.35
- energy relative to the elements (eV per atom) = 0.14
- symmetry = No. 25

a b c (Å): 3.027 3.924 6.669
angles (deg): 90.00 90.00 90.00
Fractional positions:
Zn (0.500, 0.500, 0.255)
Zn (0.000, 0.000, 0.037)
In (0.500, 0.500, 0.771)
As (0.000, 0.000, 0.438)

=====

# 19
YCu2Ni | PBE | optimized geometry

- calculated total energy (eV per atom) = -5.25
- energy relative to the elements (eV per atom) = -0.14
- symmetry = No. 139

a b c (Å): 4.976 4.976 4.976
angles (deg): 134.19 134.19 66.80
Fractional positions:
Y (0.750, 0.250, 0.500)
Ni (0.250, 0.750, 0.500)
Cu (0.500, 0.500, 0.000)
Cu (0.000, 0.000, 0.000)

=====

# 20
MgBe3O | PBE | optimized geometry

- raw formation energy (eV/atom) = -0.072
- calculated total energy (eV per atom) = -3.62
- symmetry = No. 221

a b c (Å): 3.733 3.733 3.733
angles (deg): 90.00 90.00 90.00
Fractional positions:
Mg (0.500, 0.500, 0.500)
Be (0.000, 0.000, 0.500)
Be (0.500, 0.000, 0.000)
Be (0.000, 0.500, 0.000)
O (0.000, 0.000, 0.000)

=====

# 21
AsPdBr2 | PBE | optimized geometry

- raw formation energy (eV/atom) = 0.332
- calculated total energy (eV per atom) = -2.97
- symmetry = No. 166

a b c (Å): 9.392 9.392 9.392
angles (deg): 21.07 21.07 21.07
Fractional positions:
Br (0.088, 0.088, 0.088)
Br (0.912, 0.912, 0.912)
Pd (0.000, 0.000, 0.000)
As (0.500, 0.500, 0.500)

=====

# 22
Tb3Mg2Hg7 | PBE | optimized geometry

- calculated total energy (eV per atom) = -1.83
- energy relative to the elements (eV per atom) = -0.23
- symmetry = No. 65

a b c (Å): 5.105 4.979 12.411
angles (deg): 101.57 90.00 90.00
Fractional positions:
Hg (0.000, 0.275, 0.551)
Hg (0.000, 0.725, 0.449)
Hg (0.500, 0.086, 0.172)
Hg (0.000, 0.580, 0.159)
Hg (0.500, 0.914, 0.828)
Hg (0.000, 0.420, 0.841)
Hg (0.000, 0.000, 0.000)
Tb (0.500, 0.500, 0.000)
Tb (0.500, 0.339, 0.678)
Tb (0.500, 0.661, 0.322)
Mg (0.000, 0.848, 0.697)
Mg (0.000, 0.152, 0.303)

=====

# 23
NdHoRe | PBE | optimized geometry

- calculated total energy (eV per atom) = -6.84
- energy relative to the elements (eV per atom) = 0.43
- symmetry = No. 8

a b c (Å): 5.868 5.868 15.333
angles (deg): 141.92 141.92 31.80
Fractional positions:
Nd (0.026, 0.026, 0.640)
Nd (0.064, 0.064, 0.231)
Re (0.364, 0.364, 0.711)
Re (0.721, 0.721, 0.915)
Ho (0.540, 0.540, 0.425)
Ho (0.544, 0.544, 0.000)

=====

# 24
ThCuSnPd | PBE | optimized geometry

- calculated total energy (eV per atom) = -5.74
- energy relative to the elements (eV per atom) = -0.56
- symmetry = No. 216

a b c (Å): 4.903 4.903 4.903
angles (deg): 60.00 60.00 60.00
Fractional positions:
Pd (0.000, 0.000, 0.000)
Sn (0.250, 0.250, 0.250)
Th (0.750, 0.750, 0.750)
Cu (0.500, 0.500, 0.500)

=====

# 25
CeNdMgZn | PBE | optimized geometry

- calculated total energy (eV per atom) = -3.47
- energy relative to the elements (eV per atom) = -0.08
- symmetry = No. 216

a b c (Å): 5.310 5.310 5.310
angles (deg): 60.00 60.00 60.00
Site moments in Bohr magnetons follow the coordinates.
Fractional positions:
Mg (0.500, 0.500, 0.500)  0.01
Zn (0.000, 0.000, 0.000)  0.01
Nd (0.750, 0.750, 0.750)  0.03
Ce (0.250, 0.250, 0.250)  0.81

=====

# 26
CrAg2W | PBE | optimized geometry

- calculated total energy (eV per atom) = -6.38
- energy relative to the elements (eV per atom) = 0.69
- symmetry = No. 8

a b c (Å): 4.736 4.736 5.251
angles (deg): 84.58 84.58 32.58
Fractional positions:
Cr (0.495, 0.495, 0.483)
W (0.252, 0.252, 0.269)
Ag (0.001, 0.001, 0.994)
Ag (0.752, 0.752, 0.754)